Entry 1:
This record from Alexandria via LeMat-Bulk describes a geometry-optimized Rb2TbF6 structure. The functional is PBE.

The structure belongs to space group C2/m (No. 12); the cell edges are 13.3054, 6.6729 and 4.0624 Å and the angles 90.00°, 104.16° and 90.00°. The inequivalent atoms are Rb at (0.1684, 0.0000, 0.1633), Tb at (0.0000, 0.5000, 0.5000), F at (0.0000, 0.3109, 0.0000) and F at (0.1357, 0.2884, 0.6380).

For the density of states at the Fermi level, the calculation gives 6.4 states/eV/f.u. The value obtained for the total DFT energy (no corrections) is -5.04 eV per atom. Its volume is 19.4 Å³ per atom.

=====

Entry 2:
This record from Alexandria via LeMat-Bulk describes a geometry-optimized Rb3TbF7 structure. The functional is PBE.

The structure belongs to space group Cm (No. 8); the cell edges are 9.2853, 9.4082 and 6.9474 Å and the angles 90.00°, 127.98° and 90.00°. The inequivalent atoms are Rb at (0.0000, 0.0000, 0.0000), Rb at (0.4940, 0.2261, 0.5452), Tb at (0.0402, 0.5000, 0.0940), F at (0.1039, 0.2696, 0.2190), F at (0.1746, 0.5000, 0.9215), F at (0.3112, 0.5000, 0.4767), F at (0.3403, 0.1523, 0.7899) and F at (0.3739, 0.0000, 0.2213).

For the density of states at the Fermi level, the calculation gives 9.3 states/eV/f.u. The value obtained for the total DFT energy (no corrections) is -4.90 eV per atom. Its volume is 21.7 Å³ per atom.

=====

Entry 3:
This record from Alexandria via LeMat-Bulk describes a geometry-optimized Rb2TbF5 structure. The functional is PBE.

The structure belongs to space group Pnma (No. 62); the cell edges are 11.5009, 7.5006 and 6.9496 Å and the angles 90.00°, 90.00° and 90.00°. The inequivalent atoms are Rb at (0.1710, 0.0028, 0.0391), Tb at (0.0039, 0.2500, 0.5572), F at (0.0160, 0.2500, 0.8764), F at (0.0685, 0.5352, 0.6454), F at (0.1636, 0.2500, 0.3822) and F at (0.1824, 0.7500, 0.3515).

For the density of states at the Fermi level, the calculation gives 0.0 states/eV/f.u. The value obtained for the total DFT energy (no corrections) is -5.47 eV per atom. Its volume is 18.7 Å³ per atom.

=====

Entry 4:
This record from Alexandria via LeMat-Bulk describes a geometry-optimized Rb2TbF6 structure. The functional is PBE.

The structure belongs to space group P-1 (No. 2); the cell edges are 6.9928, 7.0469 and 7.4819 Å and the angles 90.17°, 90.17° and 117.74°. The inequivalent atoms are Rb at (0.1811, 0.3556, 0.0009), Rb at (0.1863, 0.3635, 0.4998), Tb at (0.4958, 0.0682, 0.7502), F at (0.1133, 0.9824, 0.7457), F at (0.1580, 0.7147, 0.2509), F at (0.1743, 0.7318, 0.7514), F at (0.4254, 0.1269, 0.0454), F at (0.4362, 0.1357, 0.4544) and F at (0.4929, 0.3857, 0.7526).

For the density of states at the Fermi level, the calculation gives 0.0 states/eV/f.u. The value obtained for the total DFT energy (no corrections) is -5.07 eV per atom. Its volume is 18.1 Å³ per atom.

=====

Entry 5:
This record from Alexandria via LeMat-Bulk describes a geometry-optimized Rb2TbTlF6 structure. The functional is PBE.

The structure belongs to space group P2_1/c (No. 14); the cell edges are 6.6611, 6.8945 and 11.5635 Å and the angles 90.00°, 124.71° and 90.00°. The inequivalent atoms are Rb at (0.2315, 0.0464, 0.2458), Tb at (0.5000, 0.0000, 0.0000), Tl at (0.0000, 0.0000, 0.5000), F at (0.1869, 0.1764, 0.9558), F at (0.2633, 0.7398, 0.9323) and F at (0.3869, 0.0538, 0.7822).

For the density of states at the Fermi level, the calculation gives 0.0 states/eV/f.u. The value obtained for the total DFT energy (no corrections) is -5.14 eV per atom. Its volume is 21.8 Å³ per atom.